1.
Computed, not measured: an optimized crystal structure of TbTm2Pt2 at the PBE level of DFT.

## Properties
formation enthalpy at 0 K = -1.077 eV/atom
energy relative to the lowest polymorph listed for this composition = 0 meV/atom
SG = No. 11
electronic total energy = -62.076 eV per cell

a = 4.549 Å, b = 5.406 Å, c = 10.938 Å
α = 111.07°, β = 90.00°, γ = 90.00°
Atoms (fractional coordinates):
Tb: 0.250 0.806 0.213
Pt: 0.250 0.319 0.974
Tm: 0.750 0.229 0.118
Tm: 0.250 0.286 0.532
Pt: 0.250 0.867 0.637
Tm: 0.250 0.771 0.882
Pt: 0.750 0.681 0.026
Pt: 0.750 0.133 0.363
Tm: 0.750 0.714 0.468
Tb: 0.750 0.194 0.787



2.
Computed, not measured: an optimized crystal structure of Na4CdIn3 at the PBE level of DFT.

## Properties
formation enthalpy at 0 K = -0.102 eV/atom
SG = No. 25
electronic total energy = -15.221 eV per cell

a = 3.435 Å, b = 5.111 Å, c = 12.563 Å
α = 90.00°, β = 90.00°, γ = 90.00°
Atoms (fractional coordinates):
Cd: 0.500 0.500 0.065
In: 0.000 0.500 0.563
Na: 0.000 0.000 0.169
Na: 0.000 0.500 0.831
In: 0.500 0.000 0.938
In: 0.000 0.000 0.436
Na: 0.500 0.000 0.670
Na: 0.500 0.500 0.328



Among the records above, which one has the lowest electronic total energy?
TbTm2Pt2